No. 1
CeErMg6: optimized geometry, GGA-PBE.

**Energy relative to the elements**: -0.01 eV/atom
**Energy relative to the lowest polymorph listed for this composition**: 0.0000 eV/atom

a = 5.2048 Å, b = 6.6935 Å, c = 6.6935 Å
α = 119.94°, β = 90.00°, γ = 90.00°
Site moments in Bohr magnetons follow the coordinates.
Fractional coordinates of all 8 atoms:
Ce 0.0000 0.0838 0.9162  0.87
Er 0.5000 0.4161 0.5839  -0.05
Mg 0.0000 0.0784 0.4136  0.00
Mg 0.0000 0.5864 0.9216  0.00
Mg 0.0000 0.5853 0.4147  0.00
Mg 0.5000 0.4238 0.0877  0.00
Mg 0.5000 0.9123 0.5762  0.00
Mg 0.5000 0.9135 0.0865  0.00

***

No. 2
Ca2AlGaH: optimized geometry, GGA-PBE.

**Raw total energy**: -3.0961 eV per atom

a = 5.0760 Å, b = 5.0760 Å, c = 3.9079 Å
α = 90.00°, β = 90.00°, γ = 90.00°
Fractional coordinates of all 5 atoms:
H 0.0000 0.0000 0.0000
Ca 0.0000 0.5000 0.0000
Ca 0.5000 0.0000 0.0000
Al 0.0000 0.0000 0.5000
Ga 0.5000 0.5000 0.5000

***

No. 3
Ca2Zn2CdRh5: optimized geometry, GGA-PBE.

**Energy relative to the elements**: -0.29 eV/atom

a = 3.8795 Å, b = 9.4628 Å, c = 9.4628 Å
α = 90.00°, β = 90.00°, γ = 90.00°
Site moments in Bohr magnetons follow the coordinates.
Fractional coordinates of all 20 atoms:
Ca 0.0000 0.6764 0.1764  0.00
Ca 0.0000 0.3236 0.8236  0.00
Ca 0.0000 0.1764 0.3236  0.00
Ca 0.0000 0.8236 0.6764  0.00
Zn 0.0000 0.1216 0.6216  0.00
Zn 0.0000 0.8784 0.3784  0.00
Zn 0.0000 0.6216 0.8784  0.00
Zn 0.0000 0.3784 0.1216  0.00
Cd 0.0000 0.0000 0.0000  0.00
Cd 0.0000 0.5000 0.5000  0.00
Rh 0.5000 0.2077 0.0647  0.16
Rh 0.5000 0.7923 0.9353  0.16
Rh 0.5000 0.0647 0.7923  0.16
Rh 0.5000 0.7077 0.4353  0.16
Rh 0.5000 0.9353 0.2077  0.16
Rh 0.5000 0.2923 0.5647  0.16
Rh 0.5000 0.5647 0.7077  0.16
Rh 0.5000 0.4353 0.2923  0.16
Rh 0.5000 0.5000 0.0000  0.03
Rh 0.5000 0.0000 0.5000  0.03

***

No. 4
Ta3TiC: optimized geometry, GGA-PBE.

**Energy relative to the elements**: -0.18 eV/atom
**Energy relative to the lowest polymorph listed for this composition**: 0.0000 eV/atom

a = 4.3208 Å, b = 4.3208 Å, c = 4.3208 Å
α = 90.00°, β = 90.00°, γ = 90.00°
Fractional coordinates of all 5 atoms:
C 0.0000 0.0000 0.0000
Ti 0.5000 0.5000 0.5000
Ta 0.0000 0.5000 0.0000
Ta 0.0000 0.0000 0.5000
Ta 0.5000 0.0000 0.0000

***

No. 5
LiZr2P: optimized geometry, GGA-PBE.

**Energy relative to the elements**: -0.67 eV/atom

a = 3.7800 Å, b = 3.6112 Å, c = 5.3960 Å
α = 70.43°, β = 90.00°, γ = 90.00°
Fractional coordinates of all 4 atoms:
Li 0.0000 0.6912 0.4919
P 0.5000 0.5563 0.7633
Zr 0.0000 0.9761 0.9230
Zr 0.5000 0.2764 0.3218

***

No. 6
HWS2: optimized geometry, GGA-PBE.

**Energy relative to the lowest polymorph listed for this composition**: 0.6336 eV/atom

a = 4.1701 Å, b = 4.1701 Å, c = 4.1701 Å
α = 60.00°, β = 60.00°, γ = 60.00°
Site moments in Bohr magnetons follow the coordinates.
Fractional coordinates of all 4 atoms:
H 0.0000 0.0000 0.0000  -0.09
S 0.2500 0.2500 0.2500  -0.05
S 0.7500 0.7500 0.7500  -0.05
W 0.5000 0.5000 0.5000  1.02

***

No. 7
BaDyTl2: optimized geometry, GGA-PBE.

**Energy relative to the elements**: -0.37 eV/atom

a = 3.9867 Å, b = 3.9867 Å, c = 8.2350 Å
α = 90.00°, β = 90.00°, γ = 90.00°
Fractional coordinates of all 4 atoms:
Tl 0.0000 0.0000 0.7911
Tl 0.0000 0.0000 0.2089
Ba 0.5000 0.5000 0.5000
Dy 0.5000 0.5000 0.0000

***

No. 8
CaBeSi2: optimized geometry, GGA-PBE.

**Formation energy from raw total energies**: 0.353 eV/atom

a = 6.2319 Å, b = 5.0149 Å, c = 2.9040 Å
α = 90.26°, β = 62.35°, γ = 119.42°
Fractional coordinates of all 4 atoms:
Be 0.0000 0.5000 0.5000
Ca 0.5000 0.5000 0.0000
Si 0.0000 0.0000 0.0000
Si 0.5000 0.0000 0.5000